Below is a relaxed MnSbF2 crystal, with properties calculated at the PBE with a Hubbard U level.

Computed properties:
offset from the most stable computed form	0.0	kJ/mol of atoms
crystal system	trigonal
calculated total energy	-5.5942	eV/atom
DOS at the Fermi energy	0.222	states/eV/atom

abc: 3.2595 3.2595 28.0547
angles: 90.00 90.00 120.00
Last column: nearest neighbours and their distance in Å.
Space group R-3m (No. 166, hexagonal axes)
Symmetry-distinct sites (fractional):
Mn: 0.0000 0.0000 0.0000 (multiplicity 3)  6 F 2.14
Sb: 0.0000 0.0000 0.5000 (multiplicity 3)  6 Sb 3.26
F: 0.0000 0.0000 0.3696 (multiplicity 6)  3 Mn 2.14

Below is a relaxed Mn3SbF crystal, with properties calculated at the PBE with a Hubbard U level.

Computed properties:
offset from the most stable computed form	0.0	kJ/mol of atoms
crystal system	cubic
calculated total energy	-5.8370	eV/atom
DOS at the Fermi energy	0.639	states/eV/atom

abc: 4.5983 4.5983 4.5983
angles: 90.00 90.00 90.00
Last column: nearest neighbours and their distance in Å.
Space group Pm-3m (No. 221)
Symmetry-distinct sites (fractional):
Mn: 0.0000 0.0000 0.5000 (multiplicity 3)  2 F 2.30
Sb: 0.5000 0.5000 0.5000 (multiplicity 1)  12 Mn 3.25
F: 0.0000 0.0000 0.0000 (multiplicity 1)  6 Mn 2.30

Below is a relaxed MnSbF6 crystal, with properties calculated at the PBE with a Hubbard U level.

Computed properties:
crystal system	monoclinic
calculated total energy	-5.2020	eV/atom
DOS at the Fermi energy	0.340	states/eV/atom

abc: 5.3317 8.9695 5.3305
angles: 90.00 102.27 90.00
Last column: nearest neighbours and their distance in Å.
Space group C2/m (No. 12)
Symmetry-distinct sites (fractional):
Mn: 0.0000 0.0000 0.0000 (multiplicity 2)  6 F 2.09-2.17
Sb: 0.0000 0.5000 0.5000 (multiplicity 2)  6 F 2.06-2.08
F: 0.2400 0.3537 0.7415 (multiplicity 8)  1 Sb 2.08, 1 Mn 2.17
F: 0.2491 0.5000 0.2523 (multiplicity 4)  1 Sb 2.06, 1 Mn 2.09